(A)
## BeSiHgPd (GGA-PBE)

Data for a geometry-optimized BeSiHgPd structure.

Structure (CIF):
```
data_BeSiHgPd
_cell_length_a 6.234
_cell_length_b 6.234
_cell_length_c 6.234
_cell_angle_alpha 90.00
_cell_angle_beta 90.00
_cell_angle_gamma 90.00
_space_group_name_H-M_alt 'F -4 3 m'
_space_group_IT_number 216
_space_group_name_Hall 'F -4 2 3'
loop_
_atom_site_label
_atom_site_type_symbol
_atom_site_fract_x
_atom_site_fract_y
_atom_site_fract_z
Be1 Be 0.000 0.000 0.000
Si1 Si 0.000 0.000 0.500
Hg1 Hg 0.250 0.250 0.750
Pd1 Pd 0.250 0.250 0.250
```

=====

(B)
## BeSiHgPd (GGA-PBE)

Data for a geometry-optimized BeSiHgPd structure.

Structure (CIF):
```
data_BeSiHgPd
_cell_length_a 6.304
_cell_length_b 6.304
_cell_length_c 6.304
_cell_angle_alpha 90.00
_cell_angle_beta 90.00
_cell_angle_gamma 90.00
_space_group_name_H-M_alt 'F -4 3 m'
_space_group_IT_number 216
_space_group_name_Hall 'F -4 2 3'
loop_
_atom_site_label
_atom_site_type_symbol
_atom_site_fract_x
_atom_site_fract_y
_atom_site_fract_z
Be1 Be 0.000 0.000 0.000
Si1 Si 0.250 0.250 0.750
Hg1 Hg 0.250 0.250 0.250
Pd1 Pd 0.000 0.000 0.500
```

=====

Energies, relative to the best one, in eV/atom: (A) 0.000; (B) 0.079.

=====

(A)
## PmBeHg (GGA-PBE)

Data for a geometry-optimized PmBeHg structure.

total magnetization = 0.0046 μB/atom

Structure (CIF):
```
data_PmBeHg
_cell_length_a 6.885
_cell_length_b 6.885
_cell_length_c 6.885
_cell_angle_alpha 90.00
_cell_angle_beta 90.00
_cell_angle_gamma 90.00
_space_group_name_H-M_alt 'F -4 3 m'
_space_group_IT_number 216
_space_group_name_Hall 'F -4 2 3'
loop_
_atom_site_label
_atom_site_type_symbol
_atom_site_fract_x
_atom_site_fract_y
_atom_site_fract_z
Pm1 Pm 0.000 0.000 0.000
Be1 Be 0.250 0.250 0.750
Hg1 Hg 0.250 0.250 0.250
```

=====

(B)
## PmBeHg (GGA-PBE)

Data for a geometry-optimized PmBeHg structure.

total magnetization = 0.2284 μB/atom

Structure (CIF):
```
data_PmBeHg
_cell_length_a 6.715
_cell_length_b 6.715
_cell_length_c 6.715
_cell_angle_alpha 90.00
_cell_angle_beta 90.00
_cell_angle_gamma 90.00
_space_group_name_H-M_alt 'F -4 3 m'
_space_group_IT_number 216
_space_group_name_Hall 'F -4 2 3'
loop_
_atom_site_label
_atom_site_type_symbol
_atom_site_fract_x
_atom_site_fract_y
_atom_site_fract_z
Pm1 Pm 0.000 0.000 0.000
Be1 Be 0.000 0.000 0.500
Hg1 Hg 0.250 0.250 0.750
```

=====

Energies, relative to the best one, in eV/atom: (A) 0.278; (B) 0.000.

=====

(A)
## PrBeHg (GGA-PBE)

Data for a geometry-optimized PrBeHg structure.

total magnetization = 0.2147 μB/atom

Structure (CIF):
```
data_PrBeHg
_cell_length_a 6.798
_cell_length_b 6.798
_cell_length_c 6.798
_cell_angle_alpha 90.00
_cell_angle_beta 90.00
_cell_angle_gamma 90.00
_space_group_name_H-M_alt 'F -4 3 m'
_space_group_IT_number 216
_space_group_name_Hall 'F -4 2 3'
loop_
_atom_site_label
_atom_site_type_symbol
_atom_site_fract_x
_atom_site_fract_y
_atom_site_fract_z
Pr1 Pr 0.000 0.000 0.000
Be1 Be 0.000 0.000 0.500
Hg1 Hg 0.250 0.250 0.750
```

=====

(B)
## PrBeHg (GGA-PBE)

Data for a geometry-optimized PrBeHg structure.

total magnetization = 0.0008 μB/atom

Structure (CIF):
```
data_PrBeHg
_cell_length_a 6.977
_cell_length_b 6.977
_cell_length_c 6.977
_cell_angle_alpha 90.00
_cell_angle_beta 90.00
_cell_angle_gamma 90.00
_space_group_name_H-M_alt 'F -4 3 m'
_space_group_IT_number 216
_space_group_name_Hall 'F -4 2 3'
loop_
_atom_site_label
_atom_site_type_symbol
_atom_site_fract_x
_atom_site_fract_y
_atom_site_fract_z
Pr1 Pr 0.000 0.000 0.000
Be1 Be 0.250 0.250 0.750
Hg1 Hg 0.250 0.250 0.250
```

=====

Energies, relative to the best one, in eV/atom: (A) 0.000; (B) 0.262.

=====

(A)
## BeSiHgPt (GGA-PBE)

Data for a geometry-optimized BeSiHgPt structure.

total magnetization = 0.0002 μB/atom

Structure (CIF):
```
data_BeSiHgPt
_cell_length_a 6.245
_cell_length_b 6.245
_cell_length_c 6.245
_cell_angle_alpha 90.00
_cell_angle_beta 90.00
_cell_angle_gamma 90.00
_space_group_name_H-M_alt 'F -4 3 m'
_space_group_IT_number 216
_space_group_name_Hall 'F -4 2 3'
loop_
_atom_site_label
_atom_site_type_symbol
_atom_site_fract_x
_atom_site_fract_y
_atom_site_fract_z
Be1 Be 0.000 0.000 0.000
Si1 Si 0.000 0.000 0.500
Hg1 Hg 0.250 0.250 0.750
Pt1 Pt 0.250 0.250 0.250
```

=====

(B)
## BeSiHgPt (GGA-PBE)

Data for a geometry-optimized BeSiHgPt structure.

total magnetization = 0.0002 μB/atom

Structure (CIF):
```
data_BeSiHgPt
_cell_length_a 6.329
_cell_length_b 6.329
_cell_length_c 6.329
_cell_angle_alpha 90.00
_cell_angle_beta 90.00
_cell_angle_gamma 90.00
_space_group_name_H-M_alt 'F -4 3 m'
_space_group_IT_number 216
_space_group_name_Hall 'F -4 2 3'
loop_
_atom_site_label
_atom_site_type_symbol
_atom_site_fract_x
_atom_site_fract_y
_atom_site_fract_z
Be1 Be 0.000 0.000 0.000
Si1 Si 0.250 0.250 0.750
Hg1 Hg 0.250 0.250 0.250
Pt1 Pt 0.000 0.000 0.500
```

=====

Energies, relative to the best one, in eV/atom: (A) 0.000; (B) 0.158.

=====

(A)
## BeReTcHg (GGA-PBE)

Data for a geometry-optimized BeReTcHg structure.

total magnetization = 0.0001 μB/atom

Structure (CIF):
```
data_BeReTcHg
_cell_length_a 6.197
_cell_length_b 6.197
_cell_length_c 6.197
_cell_angle_alpha 90.00
_cell_angle_beta 90.00
_cell_angle_gamma 90.00
_space_group_name_H-M_alt 'F -4 3 m'
_space_group_IT_number 216
_space_group_name_Hall 'F -4 2 3'
loop_
_atom_site_label
_atom_site_type_symbol
_atom_site_fract_x
_atom_site_fract_y
_atom_site_fract_z
Be1 Be 0.000 0.000 0.000
Re1 Re 0.250 0.250 0.250
Tc1 Tc 0.000 0.000 0.500
Hg1 Hg 0.250 0.250 0.750
```

=====

(B)
## BeReTcHg (GGA-PBE)

Data for a geometry-optimized BeReTcHg structure.

total magnetization = 0.0011 μB/atom

Structure (CIF):
```
data_BeReTcHg
_cell_length_a 6.177
_cell_length_b 6.177
_cell_length_c 6.177
_cell_angle_alpha 90.00
_cell_angle_beta 90.00
_cell_angle_gamma 90.00
_space_group_name_H-M_alt 'F -4 3 m'
_space_group_IT_number 216
_space_group_name_Hall 'F -4 2 3'
loop_
_atom_site_label
_atom_site_type_symbol
_atom_site_fract_x
_atom_site_fract_y
_atom_site_fract_z
Be1 Be 0.000 0.000 0.000
Re1 Re 0.250 0.250 0.250
Tc1 Tc 0.250 0.250 0.750
Hg1 Hg 0.000 0.000 0.500
```

=====

Energies, relative to the best one, in eV/atom: (A) 0.000; (B) 0.281.

=====

(A)
## ScBeHg (GGA-PBE)

Data for a geometry-optimized ScBeHg structure.

total magnetization = 0.0045 μB/atom

Structure (CIF):
```
data_ScBeHg
_cell_length_a 6.389
_cell_length_b 6.389
_cell_length_c 6.389
_cell_angle_alpha 90.00
_cell_angle_beta 90.00
_cell_angle_gamma 90.00
_space_group_name_H-M_alt 'F -4 3 m'
_space_group_IT_number 216
_space_group_name_Hall 'F -4 2 3'
loop_
_atom_site_label
_atom_site_type_symbol
_atom_site_fract_x
_atom_site_fract_y
_atom_site_fract_z
Sc1 Sc 0.000 0.000 0.000
Be1 Be 0.250 0.250 0.750
Hg1 Hg 0.250 0.250 0.250
```

=====

(B)
## ScBeHg (GGA-PBE)

Data for a geometry-optimized ScBeHg structure.

total magnetization = 0.0007 μB/atom

Structure (CIF):
```
data_ScBeHg
_cell_length_a 6.052
_cell_length_b 6.052
_cell_length_c 6.052
_cell_angle_alpha 90.00
_cell_angle_beta 90.00
_cell_angle_gamma 90.00
_space_group_name_H-M_alt 'F -4 3 m'
_space_group_IT_number 216
_space_group_name_Hall 'F -4 2 3'
loop_
_atom_site_label
_atom_site_type_symbol
_atom_site_fract_x
_atom_site_fract_y
_atom_site_fract_z
Sc1 Sc 0.000 0.000 0.000
Be1 Be 0.250 0.250 0.750
Hg1 Hg 0.000 0.000 0.500
```

=====

Energies, relative to the best one, in eV/atom: (A) 0.516; (B) 0.000.